Ca4LaSe | GGA-PBE | relaxed

Geometry as POSCAR:
```
Ca4LaSe
1.0
0.000 4.864 4.864
4.864 0.000 4.864
4.864 4.864 0.000
Ca La Se
4 1 1
direct
0.872 0.376 0.376
0.376 0.376 0.872
0.376 0.872 0.376
0.376 0.376 0.376
0.750 0.750 0.750
0.000 0.000 0.000
```

- DFT total energy: -2.599 eV per atom
- Space-group type: F-43m
- Crystal system: cubic
- Formation energy without anion corrections: 137 meV/atom



CaLa5Se8 | GGA-PBE | relaxed

Geometry as POSCAR:
```
CaLa5Se8
1.0
-0.137 4.981 6.085
-2.171 -7.166 2.406
7.290 -0.298 -2.936
Ca La Se
1 5 8
direct
0.250 0.500 0.750
0.006 0.377 0.130
0.870 0.876 0.248
0.752 0.623 0.628
0.500 0.000 0.500
0.372 0.124 0.994
0.131 0.750 0.025
0.975 0.107 0.726
0.769 0.247 0.368
0.632 0.401 0.879
0.478 0.599 0.231
0.619 0.893 0.869
0.274 0.250 0.381
0.121 0.753 0.522
```

- DFT total energy: -5.921 eV per atom
- Space-group type: I-4
- Crystal system: tetragonal
- Formation energy without anion corrections: -2027 meV/atom



CaLaSe4 | GGA-PBE | relaxed

Geometry as POSCAR:
```
CaLaSe4
1.0
0.000 4.224 4.224
4.224 0.000 4.224
4.224 4.224 0.000
Ca La Se
1 1 4
direct
0.750 0.750 0.750
0.000 0.000 0.000
0.875 0.375 0.375
0.375 0.375 0.875
0.375 0.875 0.375
0.375 0.375 0.375
```

- DFT total energy: -3.924 eV per atom
- Space-group type: F-43m
- Crystal system: cubic
- Formation energy without anion corrections: -446 meV/atom



CaLaSe2 | GGA-PBE | relaxed

Geometry as POSCAR:
```
CaLaSe2
1.0
6.042 0.000 0.000
0.000 6.042 0.000
-3.021 -3.021 6.026
Ca La Se
2 2 4
direct
0.500 0.500 0.000
0.250 0.750 0.500
0.750 0.250 0.500
0.000 0.000 0.000
0.745 0.745 0.490
0.495 0.995 0.990
0.255 0.255 0.510
0.005 0.505 0.010
```

- Relative energy among the computed polymorphs: 0.19 kcal/mol of atoms
- DFT total energy: -5.445 eV per atom
- Space-group type: I4_1/amd
- Crystal system: tetragonal
- Formation energy without anion corrections: -1971 meV/atom



CaLaSe | GGA-PBE | relaxed

Geometry as POSCAR:
```
CaLaSe
1.0
-0.381 5.013 0.387
-2.786 2.041 3.673
2.240 2.411 3.820
Ca Se La
1 1 1
direct
0.000 0.000 0.000
0.750 0.750 0.750
0.500 0.500 0.500
```

- Relative energy among the computed polymorphs: 6.88 kcal/mol of atoms
- DFT total energy: -4.357 eV per atom
- Space-group type: F-43m
- Crystal system: cubic
- Formation energy without anion corrections: -886 meV/atom



CaLa4Se | GGA-PBE | relaxed

Geometry as POSCAR:
```
CaLa4Se
1.0
0.000 4.720 4.720
4.720 0.000 4.720
4.720 4.720 0.000
Ca La Se
1 4 1
direct
0.000 0.000 0.000
0.883 0.372 0.372
0.372 0.372 0.883
0.372 0.883 0.372
0.372 0.372 0.372
0.750 0.750 0.750
```

- DFT total energy: -4.091 eV per atom
- Space-group type: F-43m
- Crystal system: cubic
- Formation energy without anion corrections: 108 meV/atom



CaLaSe2 | GGA-PBE | relaxed

Geometry as POSCAR:
```
CaLaSe2
1.0
-1.543 1.224 -5.727
3.524 -1.977 -1.372
-2.147 -3.682 -0.208
Ca Se La
1 2 1
direct
0.000 0.375 0.375
0.000 0.875 0.875
0.500 0.375 0.375
0.500 0.875 0.875
```

- Relative energy among the computed polymorphs: 0.00 kcal/mol of atoms
- DFT total energy: -5.453 eV per atom
- Space-group type: P4/mmm
- Crystal system: tetragonal
- Formation energy without anion corrections: -1979 meV/atom



CaLaSe2 | GGA-PBE | relaxed

Geometry as POSCAR:
```
CaLaSe2
1.0
-4.404 3.382 -4.792
-2.468 -1.869 -6.649
1.095 -2.057 6.954
Ca Se La
1 2 1
direct
0.500 0.500 0.000
0.000 0.000 0.000
0.250 0.750 0.500
0.750 0.250 0.500
```

- Relative energy among the computed polymorphs: 9.75 kcal/mol of atoms
- DFT total energy: -5.031 eV per atom
- Space-group type: I-4m2
- Crystal system: tetragonal
- Formation energy without anion corrections: -1556 meV/atom



Number 1: V 38.36 Å³/atom. Number 2: V 26.74 Å³/atom. Number 3: V 25.12 Å³/atom. Number 4: V 27.50 Å³/atom. Number 5: V 30.21 Å³/atom. Number 6: V 35.06 Å³/atom. Number 7: V 27.57 Å³/atom. Number 8: V 29.19 Å³/atom.